No. 1
A plane-wave DFT calculation with PBE-GGA was carried out for a geometry-optimized LaZn2Ru structure.

Density of states at the Fermi level = 0.645 states/eV per atom
Size of the total moment = 0.0 μB/f.u.
Calculated formation energy = -9.2 kJ/mol of atoms
DFT total energy = -4.283 eV per atom

Cell and atoms, written as extended XYZ:
```
4
Lattice="-0.0898 0.1569 -3.3608 -3.3202 -0.5479 0.0632 -1.1190 6.8215 0.3483" Properties=species:S:1:pos:R:3 pbc="T T T"
Zn -1.9094 1.0502 -1.5852
Ru -2.6038 5.2834 -1.3691
Zn -1.0956 6.6789 0.3410
La -0.5988 3.6503 0.1864
```

---

No. 2
A plane-wave DFT calculation with PBE-GGA was carried out for a geometry-optimized AsH2Os structure.

Density of states at the Fermi level = 0.457 states/eV per atom
Size of the total moment = 0.0 μB/f.u.
E above lowest polymorph = 0.000 eV/f.u.
DFT total energy = -5.001 eV per atom

Cell and atoms, written as extended XYZ:
```
8
Lattice="-1.2312 2.9498 -1.5886 -2.7118 -1.8713 -1.3731 -5.6640 1.9155 3.9364" Properties=species:S:1:pos:R:3 pbc="T T T"
As -5.1737 0.2917 0.5413
As -1.9715 0.5393 -1.4808
Os -4.4333 2.7023 0.4335
H -5.0504 2.3077 2.1841
H -2.8315 2.8242 -0.5765
H -5.6625 3.7850 1.3916
Os 0.0000 0.0000 0.0000
H -4.1889 1.8923 -1.2651
```

---

No. 3
A plane-wave DFT calculation with PBE-GGA was carried out for a geometry-optimized Ce6Co2Os structure.

Density of states at the Fermi level = 2.398 states/eV per atom
Size of the total moment = 2.0 μB/f.u.
Calculated formation energy = -12.0 kJ/mol of atoms
DFT total energy = -6.908 eV per atom

Cell and atoms, written as extended XYZ:
```
18
Lattice="-4.0390 -6.3527 -3.0383 3.6375 4.5081 -5.6875 5.6663 -3.0475 4.9506" Properties=species:S:1:pos:R:3 pbc="T T T"
Ce 5.1104 -2.7823 -1.5410
Ce -0.6600 -5.2691 -0.5870
Os 0.0000 0.0000 0.0000
Ce 3.1297 -0.0618 -2.9668
Ce 0.1543 -2.1098 -2.2342
Ce 7.3124 -0.6126 -0.2070
Ce -2.0477 -4.2794 -3.5682
Ce -0.0123 -2.8747 -5.8528
Co 4.7878 -2.1372 -4.3357
Os 0.6128 -5.6224 -3.4068
Ce 2.1350 -4.8303 -0.8084
Co 4.1063 -4.1832 0.6953
Ce 2.6799 -3.5372 -3.9427
Ce 5.9247 0.3770 -3.1882
Ce 5.2770 -2.0173 2.0776
Ce 2.5848 -1.3549 0.1674
Co 0.4769 -2.7549 0.5604
Co 1.1584 -0.7089 -4.4706
```

---

No. 4
A plane-wave DFT calculation with PBE-GGA was carried out for a geometry-optimized MnTePt2 structure.

Density of states at the Fermi level = 0.640 states/eV per atom
Size of the total moment = 4.6 μB/f.u.
Uncorrected formation energy = -0.05 eV per atom
DFT total energy = -6.146 eV per atom

Cell and atoms, written as extended XYZ:
```
4
Lattice="4.1875 0.0000 0.0000 0.0000 4.1913 0.0000 0.0000 0.0000 3.9948" Properties=species:S:1:pos:R:3 pbc="T T T"
Te 2.0937 0.0000 1.9974
Pt 2.0937 2.0956 0.0000
Mn 0.0000 2.0956 1.9974
Pt 0.0000 0.0000 0.0000
```

---

No. 5
A plane-wave DFT calculation with PBE-GGA was carried out for a geometry-optimized TbAl7Pd5 structure.

Density of states at the Fermi level = 0.356 states/eV per atom
Size of the total moment = 0.0 μB/f.u.
Calculated formation energy = -72.0 kJ/mol of atoms
DFT total energy = -5.114 eV per atom

Cell and atoms, written as extended XYZ:
```
13
Lattice="5.0092 0.0000 2.0572 2.5612 6.2893 0.8907 0.1151 -0.1288 6.8468" Properties=species:S:1:pos:R:3 pbc="T T T"
Al 4.1836 2.1801 4.0673
Pd 3.7437 3.0012 1.5544
Al 1.9706 1.4102 2.3289
Pd 1.2536 3.0012 0.5317
Pd 5.6986 4.7936 7.5057
Al 5.9448 2.1888 6.9060
Al 3.4808 4.0360 5.7786
Tb 2.6834 6.1419 7.7203
Pd 2.6096 0.0253 4.3160
Al 6.6873 4.1369 5.0982
Al 3.1569 1.1429 6.5673
Pd 0.1194 0.0253 3.2934
Al 4.5809 4.8793 3.0999
```

---

No. 6
A plane-wave DFT calculation with PBE-GGA was carried out for a geometry-optimized Tl2ZnPd6 structure.

Density of states at the Fermi level = 0.420 states/eV per atom
Size of the total moment = 0.0 μB/f.u.
Calculated formation energy = -13.3 kJ/mol of atoms
DFT total energy = -4.268 eV per atom

Cell and atoms, written as extended XYZ:
```
9
Lattice="-2.8066 0.9980 -0.0649 -2.5136 -6.9432 1.9356 3.0895 4.7074 5.8450" Properties=species:S:1:pos:R:3 pbc="T T T"
Pd -0.3132 -0.7028 2.5885
Tl -2.5154 -2.4159 3.1203
Tl 0.2847 1.1781 4.5955
Pd -1.9057 -5.1016 3.8148
Pd -3.2078 -4.4855 1.3571
Pd -2.1124 -1.4597 0.5136
Pd -0.3250 3.8638 3.9009
Pd -1.9175 -0.5351 5.1272
Zn 0.0000 0.0000 0.0000
```

---

No. 7
A plane-wave DFT calculation with PBE-GGA was carried out for a geometry-optimized LiMn2Al structure.

Density of states at the Fermi level = 1.043 states/eV per atom
Size of the total moment = 3.1 μB/f.u.
Calculated formation energy = 15.1 kJ/mol of atoms
DFT total energy = -5.842 eV per atom

Cell and atoms, written as extended XYZ:
```
4
Lattice="-0.8922 -4.6702 1.1475 4.4578 1.8619 0.7646 0.0113 0.1396 2.5391" Properties=species:S:1:pos:R:3 pbc="T T T"
Mn 1.7828 -1.4042 0.9561
Al -0.4405 -2.2653 1.8433
Mn 0.0000 0.0000 0.0000
Li 2.2345 1.0007 1.6519
```

---

No. 8
A plane-wave DFT calculation with PBE-GGA was carried out for a geometry-optimized K3TeI7 structure.

Size of the total moment = 0.0 μB/f.u.
Uncorrected formation energy = -0.82 eV per atom
DFT total energy = -2.388 eV per atom

Cell and atoms, written as extended XYZ:
```
11
Lattice="-5.4402 6.5653 0.0997 -0.9529 0.7149 8.4434 3.9022 7.2602 2.9921" Properties=species:S:1:pos:R:3 pbc="T T T"
K -0.0825 5.4651 8.0982
K -2.6324 8.7896 3.3569
I -0.5194 2.2315 1.8441
I -2.2527 12.1031 9.6980
Te 3.6888 7.1355 3.0194
K 0.5107 10.5937 7.1534
I -0.2030 2.4402 6.2792
I 0.0081 8.2241 10.3950
I -2.8962 5.9515 1.2716
I -2.7900 11.8722 5.1922
I -1.2071 7.8813 6.1754
```

---

No. 9
A plane-wave DFT calculation with PBE-GGA was carried out for a geometry-optimized Sm2ScCd2 structure.

Density of states at the Fermi level = 0.977 states/eV per atom
Size of the total moment = 0.0 μB/f.u.
E above lowest polymorph = 0.419 eV/f.u.
Calculated formation energy = -12.2 kJ/mol of atoms
DFT total energy = -3.646 eV per atom

Cell and atoms, written as extended XYZ:
```
5
Lattice="3.7917 0.0000 0.0000 1.8958 6.2577 0.2190 1.8958 1.8868 5.9705" Properties=species:S:1:pos:R:3 pbc="T T T"
Sc 0.0000 0.0000 0.0000
Sm 5.6875 5.9110 4.4922
Cd 3.7917 3.2002 4.2423
Sm 1.8958 2.2336 1.6974
Cd 3.7917 4.9444 1.9473
```

---

No. 10
A plane-wave DFT calculation with PBE-GGA was carried out for a geometry-optimized KCd12Hg6 structure.

Density of states at the Fermi level = 0.348 states/eV per atom
Size of the total moment = 0.0 μB/f.u.
E above lowest polymorph = 0.000 eV/f.u.
Calculated formation energy = 0.5 kJ/mol of atoms
DFT total energy = -0.725 eV per atom

Cell and atoms, written as extended XYZ:
```
19
Lattice="8.3061 -0.0136 -0.0192 -2.0722 8.0434 -0.0192 -2.0722 -2.6691 7.5877" Properties=species:S:1:pos:R:3 pbc="T T T"
Cd 6.1322 3.7170 0.8051
Hg 3.9264 5.0575 2.0851
Hg -0.6810 3.8786 5.4622
Cd 2.0809 6.8622 0.8051
K 0.0000 0.0000 0.0000
Cd -0.3473 2.1318 3.0021
Hg 0.2353 5.0590 2.0871
Cd -1.9705 5.8256 3.7746
Cd 2.1513 2.7711 1.1707
Cd 2.0809 -1.5015 6.7441
Hg 4.8427 1.4820 2.0871
Cd 2.0104 2.5896 6.3786
Hg 0.2353 0.3031 5.4642
Cd -1.9705 1.6437 6.7441
Hg 3.9264 0.3017 5.4622
Cd 6.1322 -0.4649 3.7746
Cd 2.0104 5.1687 4.5472
Cd 2.1513 0.1919 3.0021
Cd 4.5091 3.2289 4.5472
```

---

No. 11
A plane-wave DFT calculation with PBE-GGA was carried out for a geometry-optimized Li4AcGe2 structure.

Density of states at the Fermi level = 0.600 states/eV per atom
Size of the total moment = 0.0 μB/f.u.
Calculated formation energy = -42.9 kJ/mol of atoms
DFT total energy = -3.445 eV per atom

Cell and atoms, written as extended XYZ:
```
14
Lattice="4.5163 0.0000 0.0000 0.0000 8.0242 0.0000 0.0000 0.0000 8.0242" Properties=species:S:1:pos:R:3 pbc="T T T"
Li 0.0000 0.7770 2.7559
Li 2.2581 3.2351 6.7680
Li 0.0000 5.2683 7.2472
Ge 2.2581 5.7348 5.7348
Ac 2.2581 0.0000 0.0000
Li 2.2581 1.2562 4.7891
Ge 2.2581 2.2893 2.2893
Li 0.0000 2.7559 0.7770
Ge 0.0000 6.3014 1.7227
Ge 0.0000 1.7227 6.3014
Li 2.2581 4.7891 1.2562
Ac 0.0000 4.0121 4.0121
Li 2.2581 6.7680 3.2351
Li 0.0000 7.2472 5.2683
```

---

No. 12
A plane-wave DFT calculation with PBE-GGA was carried out for a geometry-optimized Hf2Ta2P structure.

Density of states at the Fermi level = 1.315 states/eV per atom
Size of the total moment = 0.0 μB/f.u.
E above lowest polymorph = 0.644 eV/f.u.
Calculated formation energy = 33.7 kJ/mol of atoms
DFT total energy = -9.455 eV per atom

Cell and atoms, written as extended XYZ:
```
5
Lattice="3.5953 0.0000 0.0000 0.0000 3.5953 0.0000 1.7977 1.7977 8.0422" Properties=species:S:1:pos:R:3 pbc="T T T"
Hf 1.7977 1.7977 1.4976
Ta 3.5953 1.7977 4.0211
P 0.0000 0.0000 0.0000
Hf 3.5953 3.5953 6.5446
Ta 1.7977 3.5953 4.0211
```

---

What is the size of the total moment in the fifth record? 0.0 μB/f.u.

---

Repeat the eighth record exactly.
A plane-wave DFT calculation with PBE-GGA was carried out for a geometry-optimized K3TeI7 structure.

Size of the total moment = 0.0 μB/f.u.
Uncorrected formation energy = -0.82 eV per atom
DFT total energy = -2.388 eV per atom

Cell and atoms, written as extended XYZ:
```
11
Lattice="-5.4402 6.5653 0.0997 -0.9529 0.7149 8.4434 3.9022 7.2602 2.9921" Properties=species:S:1:pos:R:3 pbc="T T T"
K -0.0825 5.4651 8.0982
K -2.6324 8.7896 3.3569
I -0.5194 2.2315 1.8441
I -2.2527 12.1031 9.6980
Te 3.6888 7.1355 3.0194
K 0.5107 10.5937 7.1534
I -0.2030 2.4402 6.2792
I 0.0081 8.2241 10.3950
I -2.8962 5.9515 1.2716
I -2.7900 11.8722 5.1922
I -1.2071 7.8813 6.1754
```

---

Please write out number 7 again, unchanged.
A plane-wave DFT calculation with PBE-GGA was carried out for a geometry-optimized LiMn2Al structure.

Density of states at the Fermi level = 1.043 states/eV per atom
Size of the total moment = 3.1 μB/f.u.
Calculated formation energy = 15.1 kJ/mol of atoms
DFT total energy = -5.842 eV per atom

Cell and atoms, written as extended XYZ:
```
4
Lattice="-0.8922 -4.6702 1.1475 4.4578 1.8619 0.7646 0.0113 0.1396 2.5391" Properties=species:S:1:pos:R:3 pbc="T T T"
Mn 1.7828 -1.4042 0.9561
Al -0.4405 -2.2653 1.8433
Mn 0.0000 0.0000 0.0000
Li 2.2345 1.0007 1.6519
```